The following is a DFT calculation (PBE+U) of crystalline BaPrCo2O6 at its relaxed geometry.

The structure in POSCAR format:
```
BaPrCo2O6
1.0
3.9988 0.0000 0.0000
0.0000 3.9988 0.0000
0.0000 0.0000 7.5799
Ba Pr Co O
1 1 2 6
Direct
0.0000 0.0000 0.0000
0.0000 0.0000 0.5000
0.5000 0.5000 0.2532
0.5000 0.5000 0.7468
0.0000 0.5000 0.2735
0.0000 0.5000 0.7265
0.5000 0.0000 0.2735
0.5000 0.0000 0.7265
0.5000 0.5000 0.0000
0.5000 0.5000 0.5000
```

Properties
As for the total energy: -65.03 eV for the cell shown.